#P
{"formula": "KHg2Rh", "functional": "GGA-PBE", "state": "relaxed", "space_group": "P4/mmm", "rho_g_cm3": 9.47, "lattice": [[-2.3278, 2.4731, 0.1764], [-2.2444, -2.2056, 1.2899], [2.5473, 1.8553, 7.6047]], "species": ["Hg", "K", "Hg", "Rh"], "frac_coords": [[0.0000, 0.0000, 0.5565], [0.5000, 0.5000, 0.2500], [0.0000, 0.0000, 0.9435], [0.5000, 0.5000, 0.7500]]}

---

#Q
{"formula": "KHg2Rh", "functional": "GGA-PBE", "state": "relaxed", "space_group": "Fm-3m", "rho_g_cm3": 9.77, "lattice": [[1.5344, -4.4330, -1.9302], [-1.4916, -4.3504, 2.1402], [-3.3098, -3.0031, -2.3996]], "species": ["K", "Rh", "Hg", "Hg"], "frac_coords": [[0.0000, 0.0000, 0.0000], [0.5000, 0.5000, 0.5000], [0.7500, 0.7500, 0.7500], [0.2500, 0.2500, 0.2500]]}

---

Short version: #P, #Q, most stable first.